No. 1
A plane-wave DFT calculation with PBE was carried out for an optimized crystal structure of ZnRe2Ir.

The structure in POSCAR format:
```
ZnRe2Ir
1.0
-4.466 -0.792 -1.358
0.010 -1.458 -4.504
2.434 -1.489 3.778
Re Zn Ir
2 1 1
direct
0.000 0.000 0.000 Re
0.250 0.750 0.500 Re
0.500 0.500 0.000 Zn
0.750 0.250 0.500 Ir
```

ΔH_f (0 K), eV/atom: 0.1648
Excess energy over the best structure of this formula in the dataset, eV/atom: 0.169
Space-group type: No. 119



No. 2
A plane-wave DFT calculation with PBE was carried out for an optimized crystal structure of BiTe3S.

The structure in POSCAR format:
```
BiTe3S
1.0
-3.792 -1.136 3.520
3.699 -1.130 3.620
-0.025 5.049 1.602
S Te Bi
1 3 1
direct
0.000 0.000 0.000 S
0.000 0.000 0.500 Te
0.500 0.000 0.000 Te
0.000 0.500 0.000 Te
0.500 0.500 0.500 Bi
```

Excess energy over the best structure of this formula in the dataset, eV/atom: 0.000
ΔE_f (raw), meV per atom: 386
Space-group type: No. 221



No. 3
A plane-wave DFT calculation with PBE was carried out for an optimized crystal structure of La15Tb4Y.

The structure in POSCAR format:
```
La15Tb4Y
1.0
-2.933 4.015 1.572
-3.070 -0.610 -4.171
-15.149 -16.367 13.542
Tb La Y
4 15 1
direct
0.000 0.000 0.200 Tb
0.000 0.000 0.800 Tb
0.000 0.000 0.600 Tb
0.000 0.000 0.400 Tb
0.000 0.500 0.700 La
0.000 0.500 0.900 La
0.500 0.000 0.100 La
0.500 0.500 0.200 La
0.500 0.500 0.800 La
0.500 0.000 0.700 La
0.000 0.500 0.500 La
0.500 0.000 0.500 La
0.000 0.500 0.100 La
0.500 0.500 0.600 La
0.500 0.000 0.900 La
0.500 0.500 0.400 La
0.500 0.000 0.300 La
0.000 0.500 0.300 La
0.500 0.500 0.000 La
0.000 0.000 0.000 Y
```

ΔH_f (0 K), eV/atom: 0.0085
Space-group type: No. 123